# 1
# MgCo3Ir PBE optimized geometry
data_MgCo3Ir
_space_group_name_H-M_alt 'P m -3 m'
_space_group_IT_number 221
_space_group_name_Hall '-P 4 2 3'
_cell_length_a 4.573
_cell_length_b 4.573
_cell_length_c 4.573
_cell_angle_alpha 90.00
_cell_angle_beta 90.00
_cell_angle_gamma 90.00
loop_
_atom_site_label
_atom_site_type_symbol
_atom_site_fract_x
_atom_site_fract_y
_atom_site_fract_z
Mg1 Mg 0.000 0.000 0.000
Co1 Co 0.000 0.500 0.500
Ir1 Ir 0.500 0.500 0.500
# Distance to the lowest polymorph of the same formula, meV/atom: 0



# 2
# Sm4In2H PBE optimized geometry
data_Sm4In2H
_space_group_name_H-M_alt 'I 4/m m m'
_space_group_IT_number 139
_space_group_name_Hall '-I 4 2'
_cell_length_a 4.707
_cell_length_b 4.707
_cell_length_c 17.094
_cell_angle_alpha 90.00
_cell_angle_beta 90.00
_cell_angle_gamma 90.00
loop_
_atom_site_label
_atom_site_type_symbol
_atom_site_fract_x
_atom_site_fract_y
_atom_site_fract_z
Sm1 Sm 0.000 0.000 0.178
Sm2 Sm 0.000 0.500 0.000
In1 In 0.000 0.000 0.364
H1 H 0.000 0.000 0.000
# Final energy, eV/atom: -4.3195